Here is a relaxed structure of Sc2MnTc from Alexandria via LeMat-Bulk. Energies are from PBE.

Computed properties:
* DOS at the Fermi energy: 0.7559 states/eV/atom
* DFT total energy: -7.994 eV per atom
* energy of formation: 0.06 eV per atom
* crystal system: monoclinic

a = 3.1369 Å, b = 4.0031 Å, c = 5.7954 Å
α = 90.00°, β = 104.10°, γ = 90.00°
With the nearest neighbours (Å) after each atom.
Atoms (fractional coordinates):
Sc 0.0000 0.0000 0.0000  1 Mn 2.66, 2 Tc 2.75
Sc 0.2747 0.5000 0.6588  1 Tc 2.68, 2 Mn 2.72
Mn 0.5769 0.0000 0.4221  2 Tc 2.33
Tc 0.6829 0.5000 0.2391  2 Mn 2.33